No. 1
MnCo: relaxed, PBEsol. Values from VASP.

Results
- Symmetry: C2/m (12)
- V: 40 Å³/cell
- DOS(E_F): 5.3 states/eV per cell
- Formation enthalpy at 0 K: 0.01 eV/atom
- E: -8.74 eV per atom

Quantum ESPRESSO input file:
```
&SYSTEM
  ibrav = 0, nat = 4, ntyp = 2
/
ATOMIC_SPECIES
Co 58.93 Co.upf
Mn 54.94 Mn.upf
ATOMIC_POSITIONS crystal
Co 0.8767 0.7085 0.7534
Co 0.1233 0.2915 0.2466
Mn 0.6241 0.7893 0.2482
Mn 0.3759 0.2107 0.7518
CELL_PARAMETERS angstrom
2.4206 0.0000 0.0000
0.0000 4.2476 -0.0021
-1.2103 -2.0923 3.8892
```

---

No. 2
YZr4Cr: relaxed, PBEsol. Values from VASP.

Results
- Symmetry: F-43m (216)
- V: 138 Å³/cell
- DOS(E_F): 8.9 states/eV per cell
- Formation enthalpy at 0 K: 0.52 eV/atom
- E: -8.39 eV per atom

Quantum ESPRESSO input file:
```
&SYSTEM
  ibrav = 0, nat = 6, ntyp = 3
/
ATOMIC_SPECIES
Y 88.91 Y.upf
Cr 52.00 Cr.upf
Zr 91.22 Zr.upf
ATOMIC_POSITIONS crystal
Y 0.0000 0.0000 0.0000
Cr 0.7500 0.7500 0.7500
Zr 0.3743 0.3743 0.3743
Zr 0.3743 0.8771 0.3743
Zr 0.3743 0.3743 0.8771
Zr 0.8771 0.3743 0.3743
CELL_PARAMETERS angstrom
5.8012 0.0000 0.0000
2.9006 5.0240 0.0000
2.9006 1.6747 4.7367
```

---

No. 3
Mg2TiIn3S8: relaxed, PBEsol. Values from VASP.

Results
- Symmetry: R-3m (166)
- V: 302 Å³/cell
- DOS(E_F): 4.9 states/eV per cell
- ΔE_f (raw): -13.2 eV per formula unit
- E: -4.93 eV per atom

Quantum ESPRESSO input file:
```
&SYSTEM
  ibrav = 0, nat = 14, ntyp = 4
/
ATOMIC_SPECIES
S 32.06 S.upf
In 114.82 In.upf
Ti 47.87 Ti.upf
Mg 24.30 Mg.upf
ATOMIC_POSITIONS crystal
S 0.7332 0.2747 0.7332
S 0.2668 0.2668 0.7253
S 0.2574 0.2574 0.2574
S 0.7253 0.2668 0.2668
S 0.2668 0.7253 0.2668
S 0.7332 0.7332 0.2747
S 0.7426 0.7426 0.7426
S 0.2747 0.7332 0.7332
In 0.5000 0.0000 0.5000
In 0.0000 0.5000 0.5000
In 0.5000 0.5000 0.0000
Ti 0.5000 0.5000 0.5000
Mg 0.1241 0.1241 0.1241
Mg 0.8759 0.8759 0.8759
CELL_PARAMETERS angstrom
7.5101 -0.0005 -0.0003
3.7066 6.5317 -0.0003
3.7066 2.1583 6.1648
```